[1]
TaNb14Re | PBE | optimized geometry

Energy of formation from the pure elements, meV/atom: -68
Electronic total energy, eV per atom: -10.3974

Cell lengths 6.5952, 6.5952, 6.5920 Å; angles 90.00, 90.00, 90.00 degrees
Last column: nearest neighbours and their distance in Å.
Fractional coordinates of all 16 atoms:
Ta 0.0000 0.0000 0.0000  8 Nb 2.87
Nb 0.0000 0.0000 0.5000  8 Nb 2.89
Nb 0.0000 0.5000 0.0000  8 Nb 2.84
Nb 0.0000 0.5000 0.5000  8 Nb 2.87
Nb 0.2533 0.2533 0.2469  1 Re 2.82, 6 Nb 2.84-2.89, 1 Ta 2.87
Nb 0.2533 0.2533 0.7531  1 Re 2.82, 6 Nb 2.84-2.89, 1 Ta 2.87
Nb 0.2533 0.7467 0.2469  1 Re 2.82, 6 Nb 2.84-2.89, 1 Ta 2.87
Nb 0.2533 0.7467 0.7531  1 Re 2.82, 6 Nb 2.84-2.89, 1 Ta 2.87
Nb 0.5000 0.0000 0.0000  8 Nb 2.84
Nb 0.5000 0.0000 0.5000  8 Nb 2.87
Nb 0.5000 0.5000 0.5000  8 Nb 2.84
Nb 0.7467 0.2533 0.2469  1 Re 2.82, 6 Nb 2.84-2.89, 1 Ta 2.87
Nb 0.7467 0.2533 0.7531  1 Re 2.82, 6 Nb 2.84-2.89, 1 Ta 2.87
Nb 0.7467 0.7467 0.2469  1 Re 2.82, 6 Nb 2.84-2.89, 1 Ta 2.87
Nb 0.7467 0.7467 0.7531  1 Re 2.82, 6 Nb 2.84-2.89, 1 Ta 2.87
Re 0.5000 0.5000 0.0000  8 Nb 2.82



[2]
Ta5Nb4Re | PBE | optimized geometry

Energy of formation from the pure elements, meV/atom: -103
Excess energy over the best structure of this formula in the dataset, meV/atom: 0
Electronic total energy, eV per atom: -11.3021

Cell lengths 3.2702, 3.2702, 16.6541 Å; angles 90.00, 90.00, 90.00 degrees
Last column: nearest neighbours and their distance in Å.
Fractional coordinates of all 10 atoms:
Ta 0.0000 0.0000 0.0000  8 Nb 2.86
Ta 0.0000 0.0000 0.2031  8 Nb 2.85-2.87
Ta 0.0000 0.0000 0.4057  4 Re 2.80, 4 Nb 2.88
Ta 0.0000 0.0000 0.5943  4 Re 2.80, 4 Nb 2.88
Ta 0.0000 0.0000 0.7969  8 Nb 2.85-2.87
Nb 0.5000 0.5000 0.1012  8 Ta 2.86-2.87
Nb 0.5000 0.5000 0.3028  8 Ta 2.85-2.88
Nb 0.5000 0.5000 0.6972  8 Ta 2.85-2.88
Nb 0.5000 0.5000 0.8988  8 Ta 2.86-2.87
Re 0.5000 0.5000 0.5000  8 Ta 2.80



[3]
Ta4Nb2Re | PBE | optimized geometry

Energy of formation from the pure elements, meV/atom: 235
Excess energy over the best structure of this formula in the dataset, meV/atom: 183
Electronic total energy, eV per atom: -11.1932

Cell lengths 4.7345, 2.6833, 10.1730 Å; angles 90.00, 103.28, 90.00 degrees
Last column: nearest neighbours and their distance in Å.
Fractional coordinates of all 7 atoms:
Ta 0.0702 0.0000 0.1383  3 Ta 2.68-2.74, 2 Nb 2.79-2.80
Ta 0.2099 0.5000 0.4195  4 Ta 2.68-2.86
Ta 0.7901 0.5000 0.5805  4 Ta 2.68-2.86
Ta 0.9298 0.0000 0.8617  3 Ta 2.68-2.74, 2 Nb 2.79-2.80
Nb 0.3555 0.0000 0.7117  2 Nb 2.68, 2 Ta 2.79-2.80
Nb 0.6445 0.0000 0.2883  2 Nb 2.68, 2 Ta 2.79-2.80
Re 0.5000 0.5000 0.0000  2 Re 2.68



electronic total energy of number 1 (TaNb14Re)? -10.3974 eV per atom